Compound: Ac3La2TbTe6
Source: Alexandria
Functional: PBE
Structure: relaxed

Values from the calculation:
Electronic total energy in eV for the cell shown: -63.5

abc: 10.3568 10.3568 9.3278
angles: 103.65 103.65 25.59
With the nearest neighbours (Å) after each atom.
Element x y z (fractional)
1 Ac 0.0000 0.0000 0.0000  6 Te 3.31-3.39
2 Ac 0.3300 0.3300 0.6644  6 Te 3.31-3.36
3 Ac 0.6700 0.6700 0.3356  6 Te 3.31-3.36
4 La 0.3336 0.3336 0.1661  6 Te 3.23-3.26
5 La 0.6664 0.6664 0.8339  6 Te 3.23-3.26
6 Tb 0.0000 0.0000 0.5000  6 Te 3.11-3.16
7 Te 0.1589 0.1589 0.5865  1 Tb 3.11, 2 La 3.23, 3 Ac 3.32-3.36
8 Te 0.1688 0.1688 0.0784  3 La 3.23, 3 Ac 3.31
9 Te 0.4998 0.4998 0.2668  2 Tb 3.16, 1 La 3.26, 3 Ac 3.34-3.39
10 Te 0.5002 0.5002 0.7332  2 Tb 3.16, 1 La 3.26, 3 Ac 3.34-3.39
11 Te 0.8312 0.8312 0.9216  3 La 3.23, 3 Ac 3.31
12 Te 0.8411 0.8411 0.4135  1 Tb 3.11, 2 La 3.23, 3 Ac 3.32-3.36

Compound: Ac2LaTbTe6
Source: Alexandria
Functional: PBE
Structure: relaxed

Values from the calculation:
Electronic total energy in eV for the cell shown: -51.4

abc: 8.6108 8.6108 8.6108
angles: 56.90 56.90 56.90
With the nearest neighbours (Å) after each atom.
Element x y z (fractional)
1 Ac 0.0000 0.0000 0.0000  6 Te 3.30-3.39
2 Ac 0.4981 0.4981 0.4981  6 Te 3.33-3.37
3 La 0.2007 0.2007 0.2007  6 Te 3.19-3.25
4 Tb 0.6985 0.6985 0.6985  6 Te 3.09-3.12
5 Te 0.0700 0.4274 0.8182  1 Tb 3.09, 1 La 3.25, 2 Ac 3.33-3.38
6 Te 0.3241 0.9128 0.5839  1 Tb 3.12, 1 La 3.19, 2 Ac 3.30-3.37
7 Te 0.4274 0.8182 0.0700  1 Tb 3.09, 1 La 3.25, 2 Ac 3.33-3.39
8 Te 0.5839 0.3241 0.9128  1 Tb 3.12, 1 La 3.19, 2 Ac 3.30-3.37
9 Te 0.8182 0.0700 0.4274  1 Tb 3.09, 1 La 3.25, 2 Ac 3.33-3.38
10 Te 0.9128 0.5839 0.3241  1 Tb 3.12, 1 La 3.19, 2 Ac 3.30-3.37

Compound: AcLa2Tb3Te6
Source: Alexandria
Functional: PBE
Structure: relaxed

Values from the calculation:
Electronic total energy in eV for the cell shown: -63.9

abc: 10.1077 10.1077 9.0955
angles: 104.24 104.24 25.50
With the nearest neighbours (Å) after each atom.
Element x y z (fractional)
1 Ac 0.0000 0.0000 0.0000  6 Te 3.30
2 La 0.3323 0.3323 0.6656  6 Te 3.24-3.27
3 La 0.6677 0.6677 0.3344  6 Te 3.24-3.27
4 Tb 0.0000 0.0000 0.5000  6 Te 3.08-3.11
5 Tb 0.3347 0.3347 0.1700  6 Te 3.09-3.13
6 Tb 0.6653 0.6653 0.8300  6 Te 3.09-3.13
7 Te 0.1629 0.1629 0.5910  3 Tb 3.11, 3 La 3.24-3.25
8 Te 0.1728 0.1728 0.0749  3 Tb 3.09-3.13, 2 La 3.27, 1 Ac 3.30
9 Te 0.4975 0.4975 0.2653  3 Tb 3.08-3.11, 1 La 3.26, 2 Ac 3.30
10 Te 0.5025 0.5025 0.7347  3 Tb 3.08-3.11, 1 La 3.26, 2 Ac 3.30
11 Te 0.8272 0.8272 0.9251  3 Tb 3.09-3.13, 2 La 3.27, 1 Ac 3.30
12 Te 0.8371 0.8371 0.4090  3 Tb 3.11, 3 La 3.24-3.25